(1)
A relaxed Co2Ni3Ir crystal. Source: the Alexandria database, functional PBE-GGA.

Geometry as CIF:
```
data_Co2Ni3Ir
_space_group_name_H-M_alt 'C 1 2/m 1'
_space_group_IT_number 12
_cell_length_a 15.510
_cell_length_b 2.581
_cell_length_c 8.241
_cell_angle_alpha 90.00
_cell_angle_beta 121.90
_cell_angle_gamma 90.00
loop_
_space_group_symop_operation_xyz
'x,y,z'
'-x,-y,-z'
'-x,y,-z'
'x,-y,z'
'x+1/2,y+1/2,z'
'-x+1/2,-y+1/2,-z'
'-x+1/2,y+1/2,-z'
'x+1/2,-y+1/2,z'
loop_
_atom_site_label
_atom_site_fract_x
_atom_site_fract_y
_atom_site_fract_z
Co1 0.059 0.000 0.431
Co2 0.226 0.500 0.596
Ni1 0.054 0.000 0.933
Ni2 0.111 0.500 0.239
Ni3 0.220 0.500 0.101
Ir1 0.111 0.500 0.735
```

E	-6.71	eV per atom
distance to the lowest polymorph of the same formula	0.0	meV per atom
E_form	0.03	eV/atom

***

(2)
A relaxed Co2Ni2Ir crystal. Source: the Alexandria database, functional PBE-GGA.

Geometry as CIF:
```
data_Co2Ni2Ir
_space_group_name_H-M_alt 'C 1 2/m 1'
_space_group_IT_number 12
_cell_length_a 8.044
_cell_length_b 3.625
_cell_length_c 5.662
_cell_angle_alpha 90.00
_cell_angle_beta 134.49
_cell_angle_gamma 90.00
loop_
_space_group_symop_operation_xyz
'x,y,z'
'-x,-y,-z'
'-x,y,-z'
'x,-y,z'
'x+1/2,y+1/2,z'
'-x+1/2,-y+1/2,-z'
'-x+1/2,y+1/2,-z'
'x+1/2,-y+1/2,z'
loop_
_atom_site_label
_atom_site_fract_x
_atom_site_fract_y
_atom_site_fract_z
Co1 0.100 0.000 0.295
Ni1 0.199 0.500 0.100
Ir1 0.000 0.500 0.500
```

E	-6.91	eV per atom
distance to the lowest polymorph of the same formula	0.0	meV per atom
E_form	0.02	eV/atom

***

(3)
A relaxed Co5NiIr2 crystal. Source: the Alexandria database, functional PBE-GGA.

Geometry as CIF:
```
data_Co5NiIr2
_space_group_name_H-M_alt 'I m m m'
_space_group_IT_number 71
_space_group_name_Hall '-I 2 2'
_cell_length_a 2.581
_cell_length_b 8.054
_cell_length_c 9.504
_cell_angle_alpha 90.00
_cell_angle_beta 90.00
_cell_angle_gamma 90.00
loop_
_atom_site_label
_atom_site_fract_x
_atom_site_fract_y
_atom_site_fract_z
Co1 0.000 0.000 0.000
Co2 0.000 0.275 0.375
Ni1 0.000 0.500 0.000
Ir1 0.000 0.000 0.263
```

E	-7.23	eV per atom
E_form	0.15	eV/atom

***

(4)
A relaxed Co4Ni3Ir crystal. Source: the Alexandria database, functional PBE-GGA.

Geometry as CIF:
```
data_Co4Ni3Ir
_space_group_name_H-M_alt 'I m m m'
_space_group_IT_number 71
_space_group_name_Hall '-I 2 2'
_cell_length_a 2.506
_cell_length_b 8.239
_cell_length_c 9.048
_cell_angle_alpha 90.00
_cell_angle_beta 90.00
_cell_angle_gamma 90.00
loop_
_atom_site_label
_atom_site_fract_x
_atom_site_fract_y
_atom_site_fract_z
Co1 0.000 0.249 0.133
Ni1 0.000 0.000 0.000
Ni2 0.000 0.500 0.267
Ir1 0.000 0.000 0.500
```

E	-6.70	eV per atom
distance to the lowest polymorph of the same formula	101.0	meV per atom
E_form	0.13	eV/atom

***

(5)
A relaxed CoNi2Ir crystal. Source: the Alexandria database, functional PBE-GGA.

Geometry as CIF:
```
data_CoNi2Ir
_space_group_name_H-M_alt 'F m -3 m'
_space_group_IT_number 225
_space_group_name_Hall '-F 4 2 3'
_cell_length_a 5.785
_cell_length_b 5.785
_cell_length_c 5.785
_cell_angle_alpha 90.00
_cell_angle_beta 90.00
_cell_angle_gamma 90.00
loop_
_atom_site_label
_atom_site_fract_x
_atom_site_fract_y
_atom_site_fract_z
Co1 0.000 0.000 0.000
Ni1 0.250 0.250 0.250
Ir1 0.000 0.000 0.500
```

E	-6.69	eV per atom
distance to the lowest polymorph of the same formula	169.2	meV per atom
E_form	0.19	eV/atom

***

(6)
A relaxed Co5NiIr6 crystal. Source: the Alexandria database, functional PBE-GGA.

Geometry as CIF:
```
data_Co5NiIr6
_space_group_name_H-M_alt 'I m m m'
_space_group_IT_number 71
_space_group_name_Hall '-I 2 2'
_cell_length_a 3.755
_cell_length_b 7.202
_cell_length_c 11.265
_cell_angle_alpha 90.00
_cell_angle_beta 90.00
_cell_angle_gamma 90.00
loop_
_atom_site_label
_atom_site_fract_x
_atom_site_fract_y
_atom_site_fract_z
Co1 0.000 0.000 0.000
Co2 0.000 0.000 0.331
Co3 0.000 0.500 0.332
Ni1 0.000 0.500 0.000
Ir1 0.000 0.249 0.167
Ir2 0.000 0.252 0.500
```

E	-7.83	eV per atom
E_form	0.04	eV/atom

***

(7)
A relaxed CoNiIr crystal. Source: the Alexandria database, functional PBE-GGA.

Geometry as CIF:
```
data_CoNiIr
_space_group_name_H-M_alt 'C m c m'
_space_group_IT_number 63
_space_group_name_Hall '-C 2c 2'
_cell_length_a 3.628
_cell_length_b 11.005
_cell_length_c 3.668
_cell_angle_alpha 90.00
_cell_angle_beta 90.00
_cell_angle_gamma 90.00
loop_
_atom_site_label
_atom_site_fract_x
_atom_site_fract_y
_atom_site_fract_z
Co1 0.000 0.082 0.250
Ni1 0.000 0.250 0.750
Ir1 0.000 0.415 0.250
```

E	-7.21	eV per atom
distance to the lowest polymorph of the same formula	2.0	meV per atom
E_form	0.04	eV/atom

***

(8)
A relaxed CoNiIr4 crystal. Source: the Alexandria database, functional PBE-GGA.

Geometry as CIF:
```
data_CoNiIr4
_space_group_name_H-M_alt 'F -4 3 m'
_space_group_IT_number 216
_space_group_name_Hall 'F -4 2 3'
_cell_length_a 7.227
_cell_length_b 7.227
_cell_length_c 7.227
_cell_angle_alpha 90.00
_cell_angle_beta 90.00
_cell_angle_gamma 90.00
loop_
_atom_site_label
_atom_site_fract_x
_atom_site_fract_y
_atom_site_fract_z
Co1 0.000 0.000 0.000
Ni1 0.250 0.250 0.750
Ir1 0.125 0.125 0.375
```

E	-7.37	eV per atom
distance to the lowest polymorph of the same formula	654.2	meV per atom
E_form	0.69	eV/atom

***

(9)
A relaxed Co2Ni2Ir crystal. Source: the Alexandria database, functional PBE-GGA.

Geometry as CIF:
```
data_Co2Ni2Ir
_space_group_name_H-M_alt 'P 4/m b m'
_space_group_IT_number 127
_space_group_name_Hall '-P 4 2ab'
_cell_length_a 6.731
_cell_length_b 6.731
_cell_length_c 2.638
_cell_angle_alpha 90.00
_cell_angle_beta 90.00
_cell_angle_gamma 90.00
loop_
_atom_site_label
_atom_site_fract_x
_atom_site_fract_y
_atom_site_fract_z
Co1 0.121 0.379 0.000
Ni1 0.176 0.676 0.500
Ir1 0.000 0.000 0.000
```

E	-6.72	eV per atom
distance to the lowest polymorph of the same formula	187.3	meV per atom
E_form	0.21	eV/atom

***

(10)
A relaxed Co3NiIr12 crystal. Source: the Alexandria database, functional PBE-GGA.

Geometry as CIF:
```
data_Co3NiIr12
_space_group_name_H-M_alt 'P 4/m m m'
_space_group_IT_number 123
_space_group_name_Hall '-P 4 2'
_cell_length_a 3.803
_cell_length_b 3.803
_cell_length_c 15.228
_cell_angle_alpha 90.00
_cell_angle_beta 90.00
_cell_angle_gamma 90.00
loop_
_atom_site_label
_atom_site_fract_x
_atom_site_fract_y
_atom_site_fract_z
Co1 0.000 0.000 0.000
Co2 0.000 0.000 0.249
Ni1 0.000 0.000 0.500
Ir1 0.000 0.500 0.125
Ir2 0.000 0.500 0.374
Ir3 0.500 0.500 0.000
Ir4 0.500 0.500 0.250
Ir5 0.500 0.500 0.500
```

E	-8.29	eV per atom
E_form	0.05	eV/atom

***

(11)
A relaxed Co2NiIr3 crystal. Source: the Alexandria database, functional PBE-GGA.

Geometry as CIF:
```
data_Co2NiIr3
_space_group_name_H-M_alt 'C m m m'
_space_group_IT_number 65
_space_group_name_Hall '-C 2 2'
_cell_length_a 3.754
_cell_length_b 11.271
_cell_length_c 7.219
_cell_angle_alpha 90.00
_cell_angle_beta 90.00
_cell_angle_gamma 90.00
loop_
_atom_site_label
_atom_site_fract_x
_atom_site_fract_y
_atom_site_fract_z
Co1 0.000 0.000 0.000
Co2 0.000 0.000 0.500
Co3 0.000 0.334 0.000
Ni1 0.000 0.336 0.500
Ir1 0.000 0.167 0.247
Ir2 0.000 0.500 0.247
```

E	-7.72	eV per atom
E_form	0.04	eV/atom

***

(12)
A relaxed Co6Ni3Ir2 crystal. Source: the Alexandria database, functional PBE-GGA.

Geometry as CIF:
```
data_Co6Ni3Ir2
_space_group_name_H-M_alt 'I m m m'
_space_group_IT_number 71
_space_group_name_Hall '-I 2 2'
_cell_length_a 2.537
_cell_length_b 4.012
_cell_length_c 26.111
_cell_angle_alpha 90.00
_cell_angle_beta 90.00
_cell_angle_gamma 90.00
loop_
_atom_site_label
_atom_site_fract_x
_atom_site_fract_y
_atom_site_fract_z
Co1 0.000 0.000 0.049
Co2 0.000 0.000 0.420
Co3 0.000 0.500 0.269
Ni1 0.000 0.500 0.000
Ni2 0.000 0.500 0.176
Ir1 0.000 0.500 0.364
```

E	-6.89	eV per atom
E_form	0.17	eV/atom

***

no.,D(E_F) (states/eV per cell)
1,30.78
2,13.89
3,22.94
4,19.95
5,30.76
6,29.56
7,19.13
8,43.84
9,11.59
10,22.38
11,29.53
12,27.47